This record from Alexandria describes an optimized crystal structure of Sm2Ge2S7. The functional is GGA-PBE.

Calculated values
Uncorrected energy in eV/cell: -58.14
Space group: No. 12
Formation energy from raw total energies in eV per formula unit: -10.58

Cell: 5.9875 7.1168 7.1168 Å, 100.48 97.28 97.28°
With the nearest neighbours (Å) after each atom.
Fractional positions:
1 Sm 0.5000 0.2946 0.7054  6 S 2.78-2.86
2 Sm 0.5000 0.7054 0.2946  6 S 2.78-2.86
3 Ge 0.0840 0.7680 0.7680  4 S 2.22-2.27
4 Ge 0.9160 0.2320 0.2320  4 S 2.22-2.27
5 S 0.2743 0.5739 0.9179  1 Ge 2.23
6 S 0.7257 0.0821 0.4261  1 Ge 2.23
7 S 0.7257 0.4261 0.0821  1 Ge 2.23
8 S 0.2743 0.9179 0.5739  1 Ge 2.23
9 S 0.2364 0.4044 0.4044  1 Ge 2.22
10 S 0.0000 0.0000 0.0000  2 Ge 2.27
11 S 0.7636 0.5956 0.5956  1 Ge 2.22

This record from Alexandria describes an optimized crystal structure of Sm6Ge3S14. The functional is GGA-PBE.

Calculated values
Uncorrected energy in eV/cell: -133.65
Space group: No. 143
Formation energy from raw total energies in eV per formula unit: -33.70

Cell: 10.1581 10.1581 5.7743 Å, 90.00 90.00 120.00°
With the nearest neighbours (Å) after each atom.
Fractional positions:
1 Sm 0.3090 0.1018 0.7558  8 S 2.85-3.15
2 Sm 0.7927 0.6910 0.7558  8 S 2.85-3.15
3 Sm 0.8982 0.2073 0.7558  8 S 2.85-3.15
4 Sm 0.0252 0.5651 0.2479  8 S 2.84-3.13
5 Sm 0.5398 0.9748 0.2479  8 S 2.84-3.13
6 Sm 0.4349 0.4602 0.2479  8 S 2.84-3.13
7 Ge 0.0000 0.0000 0.1730  4 S 2.19-2.25
8 Ge 0.3333 0.6667 0.6647  4 S 2.20-2.25
9 Ge 0.6667 0.3333 0.5182  6 S 2.67-2.72
10 S 0.1494 0.2295 0.0122  1 Ge 2.25
11 S 0.0802 0.8506 0.0122  1 Ge 2.25
12 S 0.7705 0.9198 0.0122  1 Ge 2.25
13 S 0.1838 0.4368 0.5063  1 Ge 2.25
14 S 0.2531 0.8162 0.5063  1 Ge 2.25
15 S 0.5632 0.7469 0.5063  1 Ge 2.25
16 S 0.0000 0.0000 0.5529  1 Ge 2.19
17 S 0.3333 0.6667 0.0453  1 Ge 2.20
18 S 0.4106 0.1700 0.2776  1 Ge 2.67, 3 Sm 2.84-2.91
19 S 0.7594 0.5894 0.2776  1 Ge 2.67, 3 Sm 2.84-2.91
20 S 0.8300 0.2406 0.2776  1 Ge 2.67, 3 Sm 2.84-2.91
21 S 0.9247 0.5005 0.7679  1 Ge 2.72, 3 Sm 2.85-2.91
22 S 0.5758 0.0753 0.7679  1 Ge 2.72, 3 Sm 2.85-2.91
23 S 0.4995 0.4242 0.7679  1 Ge 2.72, 3 Sm 2.85-2.91

This record from Alexandria describes an optimized crystal structure of Sm7GeS5. The functional is GGA-PBE.

Calculated values
Uncorrected energy in eV/cell: -161.05
Space group: No. 63
Formation energy from raw total energies in eV per formula unit: -22.24

Cell: 4.0461 6.8666 23.7821 Å, 90.00 90.00 107.19°
With the nearest neighbours (Å) after each atom.
Fractional positions:
1 Sm 0.4663 0.9325 0.2500  2 S 2.77, 2 Ge 2.94
2 Sm 0.5342 0.0686 0.7500  2 S 2.77, 2 Ge 2.94
3 Sm 0.6374 0.2748 0.0369  6 S 2.77-2.85
4 Sm 0.3633 0.7266 0.9631  6 S 2.77-2.85
5 Sm 0.3632 0.7264 0.5369  6 S 2.77-2.85
6 Sm 0.6373 0.2746 0.4631  6 S 2.77-2.85
7 Sm 0.1855 0.3711 0.1775  3 S 2.78-2.84, 2 Ge 3.08
8 Sm 0.8151 0.6301 0.8225  3 S 2.78-2.84, 2 Ge 3.08
9 Sm 0.8151 0.6300 0.6774  3 S 2.78-2.84, 2 Ge 3.08
10 Sm 0.1854 0.3710 0.3225  3 S 2.78-2.84, 2 Ge 3.08
11 Sm 0.9085 0.8170 0.1119  5 S 2.82-2.92
12 Sm 0.0921 0.1843 0.8882  5 S 2.82-2.92
13 Sm 0.0921 0.1841 0.6118  5 S 2.82-2.92
14 Sm 0.9084 0.8168 0.3881  5 S 2.82-2.92
15 Ge 0.8036 0.6072 0.2500  6 Sm 2.94-3.08
16 Ge 0.1970 0.3940 0.7500  6 Sm 2.94-3.08
17 S 0.0003 0.0007 0.0000  6 Sm 2.84-2.92
18 S 0.7264 0.4530 0.9288  6 Sm 2.78-2.85
19 S 0.2743 0.5483 0.0712  6 Sm 2.78-2.85
20 S 0.5475 0.0951 0.3575  6 Sm 2.77-2.84
21 S 0.4530 0.9059 0.6425  6 Sm 2.77-2.84
22 S 0.0002 0.0004 0.5000  6 Sm 2.84-2.92
23 S 0.2742 0.5481 0.4288  6 Sm 2.78-2.85
24 S 0.7263 0.4528 0.5712  6 Sm 2.78-2.85
25 S 0.4530 0.9061 0.8575  6 Sm 2.77-2.84
26 S 0.5476 0.0952 0.1425  6 Sm 2.77-2.84

This record from Alexandria describes an optimized crystal structure of Sm3GeS. The functional is GGA-PBE.

Calculated values
Uncorrected energy in eV/cell: -113.06
Space group: No. 15
Formation energy from raw total energies in eV per formula unit: -5.36

Cell: 7.9982 8.3621 7.9982 Å, 90.02 79.90 89.98°
With the nearest neighbours (Å) after each atom.
Fractional positions:
1 Sm 0.1909 0.5528 0.0361  2 S 2.80-2.93
2 Sm 0.0361 0.9472 0.1909  2 S 2.80-2.93
3 Sm 0.8091 0.4472 0.9639  2 S 2.80-2.93
4 Sm 0.9639 0.0528 0.8091  2 S 2.80-2.93
5 Sm 0.5842 0.8230 0.0841  2 S 2.71, 1 Ge 2.97
6 Sm 0.0841 0.6770 0.5842  2 S 2.71, 1 Ge 2.97
7 Sm 0.4158 0.1770 0.9159  2 S 2.71, 1 Ge 2.97
8 Sm 0.9159 0.3230 0.4158  2 S 2.71, 1 Ge 2.97
9 Sm 0.5352 0.5528 0.6909  2 S 2.80-2.93
10 Sm 0.6909 0.9472 0.5352  2 S 2.80-2.93
11 Sm 0.4648 0.4472 0.3091  2 S 2.80-2.93
12 Sm 0.3091 0.0528 0.4648  2 S 2.80-2.93
13 Ge 0.3060 0.8600 0.8069  6 Sm 2.97-3.20
14 Ge 0.8069 0.6400 0.3060  6 Sm 2.97-3.20
15 Ge 0.6940 0.1400 0.1931  6 Sm 2.97-3.20
16 Ge 0.1931 0.3600 0.6940  6 Sm 2.97-3.20
17 S 0.2146 0.2500 0.2146  6 Sm 2.71-2.93
18 S 0.7854 0.7500 0.7854  6 Sm 2.71-2.93
19 S 0.7140 0.2500 0.7140  6 Sm 2.71-2.93
20 S 0.2860 0.7500 0.2860  6 Sm 2.71-2.93

This record from Alexandria describes an optimized crystal structure of Sm5Ge2S2. The functional is GGA-PBE.

Calculated values
Uncorrected energy in eV/cell: -104.53
Space group: No. 64
Formation energy from raw total energies in eV per formula unit: -11.18

Cell: 7.7818 7.6560 8.2160 Å, 117.77 90.00 90.00°
With the nearest neighbours (Å) after each atom.
Fractional positions:
1 Sm 0.0000 0.0000 0.0000  2 S 2.85, 4 Ge 3.02-3.05
2 Sm 0.5000 0.5000 0.0000  2 S 2.85, 4 Ge 3.02-3.05
3 Sm 0.8395 0.8118 0.2822  3 S 2.92-3.05, 3 Ge 3.04-3.09
4 Sm 0.1605 0.4704 0.2822  3 S 2.92-3.05, 3 Ge 3.04-3.09
5 Sm 0.3395 0.9704 0.2822  3 S 2.92-3.05, 3 Ge 3.04-3.09
6 Sm 0.6605 0.3118 0.2822  3 S 2.92-3.05, 3 Ge 3.04-3.09
7 Sm 0.1605 0.1882 0.7178  3 S 2.92-3.05, 3 Ge 3.04-3.09
8 Sm 0.8395 0.5296 0.7178  3 S 2.92-3.05, 3 Ge 3.04-3.09
9 Sm 0.6605 0.0296 0.7178  3 S 2.92-3.05, 3 Ge 3.04-3.09
10 Sm 0.3395 0.6882 0.7178  3 S 2.92-3.05, 3 Ge 3.04-3.09
11 Ge 0.6294 0.8713 0.0000  1 Ge 2.82, 8 Sm 3.02-3.09
12 Ge 0.3706 0.1287 0.0000  1 Ge 2.82, 8 Sm 3.02-3.09
13 Ge 0.1294 0.6287 0.0000  1 Ge 2.82, 8 Sm 3.02-3.09
14 Ge 0.8706 0.3713 0.0000  1 Ge 2.82, 8 Sm 3.02-3.09
15 S 0.0000 0.1960 0.3920  7 Sm 2.85-3.05
16 S 0.5000 0.6960 0.3920  7 Sm 2.85-3.05
17 S 0.0000 0.8040 0.6080  7 Sm 2.85-3.05
18 S 0.5000 0.3040 0.6080  7 Sm 2.85-3.05

This record from Alexandria describes an optimized crystal structure of Sm3Ge2S. The functional is GGA-PBE.

Calculated values
Uncorrected energy in eV/cell: -34.83
Space group: No. 139
Formation energy from raw total energies in eV per formula unit: -7.31

Cell: 4.1658 4.1658 9.3083 Å, 102.93 102.93 90.00°
With the nearest neighbours (Å) after each atom.
Fractional positions:
1 Sm 0.8372 0.8372 0.6744  1 S 2.87, 5 Ge 2.95-3.03
2 Sm 0.1628 0.1628 0.3256  1 S 2.87, 5 Ge 2.95-3.03
3 Sm 0.5000 0.5000 0.0000  2 Ge 2.92, 4 S 2.95
4 Ge 0.3346 0.3346 0.6692  6 Sm 2.92-3.03
5 Ge 0.6654 0.6654 0.3308  6 Sm 2.92-3.03
6 S 0.0000 0.0000 0.0000  6 Sm 2.87-2.95

This record from Alexandria describes an optimized crystal structure of Sm4GeS3. The functional is GGA-PBE.

Calculated values
Uncorrected energy in eV/cell: -50.20
Space group: No. 221
Formation energy from raw total energies in eV per formula unit: -14.32

Cell: 5.7589 5.7589 5.7589 Å, 90.00 90.00 90.00°
With the nearest neighbours (Å) after each atom.
Fractional positions:
1 Ge 0.0000 0.0000 0.0000  6 Sm 2.88
2 S 0.0000 0.5000 0.5000  6 Sm 2.88
3 S 0.5000 0.0000 0.5000  6 Sm 2.88
4 S 0.5000 0.5000 0.0000  6 Sm 2.88
5 Sm 0.5000 0.0000 0.0000  4 S 2.88, 2 Ge 2.88
6 Sm 0.0000 0.5000 0.0000  4 S 2.88, 2 Ge 2.88
7 Sm 0.0000 0.0000 0.5000  4 S 2.88, 2 Ge 2.88
8 Sm 0.5000 0.5000 0.5000  6 S 2.88

This record from Alexandria describes an optimized crystal structure of Sm8Ge5S. The functional is GGA-PBE.

Calculated values
Uncorrected energy in eV/cell: -78.33
Space group: No. 82
Formation energy from raw total energies in eV per formula unit: -13.36

Cell: 7.7729 7.7729 7.7729 Å, 109.70 109.02 109.70°
With the nearest neighbours (Å) after each atom.
Fractional positions:
1 Sm 0.1270 0.7441 0.0044  1 S 2.89, 2 Ge 2.95-2.96
2 Sm 0.9956 0.1226 0.7397  1 S 2.89, 2 Ge 2.95-2.96
3 Sm 0.7530 0.2465 0.3688  5 Ge 2.94-3.26
4 Sm 0.6312 0.3843 0.8777  5 Ge 2.94-3.26
5 Sm 0.4934 0.6157 0.2470  5 Ge 2.94-3.26
6 Sm 0.6170 0.8774 0.8730  1 S 2.89, 2 Ge 2.95-2.96
7 Sm 0.2603 0.2559 0.3830  1 S 2.89, 2 Ge 2.95-2.96
8 Sm 0.1223 0.7535 0.5066  5 Ge 2.94-3.26
9 Ge 0.0016 0.3735 0.1253  7 Sm 2.94-3.27
10 Ge 0.8747 0.8762 0.2482  7 Sm 2.94-3.27
11 Ge 0.7518 0.6265 0.6281  7 Sm 2.94-3.27
12 Ge 0.5000 0.0000 0.5000  4 Sm 2.94
13 Ge 0.3719 0.1238 0.9984  7 Sm 2.94-3.27
14 S 0.2500 0.5000 0.7500  4 Sm 2.89

This record from Alexandria describes an optimized crystal structure of SmGe2S6. The functional is GGA-PBE.

Calculated values
Uncorrected energy in eV/cell: -88.38
Space group: No. 15
Formation energy from raw total energies in eV per formula unit: -5.47

Cell: 6.4964 8.3240 8.3240 Å, 84.33 77.59 77.59°
With the nearest neighbours (Å) after each atom.
Fractional positions:
1 Sm 0.2500 0.1513 0.8487  6 S 2.82-2.88
2 Sm 0.7500 0.8487 0.1513  6 S 2.82-2.88
3 Ge 0.2719 0.6328 0.7704  4 S 2.21-2.31
4 Ge 0.2281 0.2296 0.3672  4 S 2.21-2.31
5 Ge 0.7281 0.3672 0.2296  4 S 2.21-2.31
6 Ge 0.7719 0.7704 0.6328  4 S 2.21-2.31
7 S 0.4902 0.7253 0.5384  2 Ge 2.25-2.31
8 S 0.0098 0.4616 0.2747  2 Ge 2.25-2.31
9 S 0.5098 0.2747 0.4616  2 Ge 2.25-2.31
10 S 0.9902 0.5384 0.7253  2 Ge 2.25-2.31
11 S 0.9744 0.8654 0.4101  1 Ge 2.21
12 S 0.5256 0.5899 0.1346  1 Ge 2.21
13 S 0.0256 0.1346 0.5899  1 Ge 2.21
14 S 0.4744 0.4101 0.8654  1 Ge 2.21
15 S 0.1619 0.8280 0.9499  1 Ge 2.22
16 S 0.3381 0.0501 0.1720  1 Ge 2.22
17 S 0.8381 0.1720 0.0501  1 Ge 2.22
18 S 0.6619 0.9499 0.8280  1 Ge 2.22

This record from Alexandria describes an optimized crystal structure of SmGeS. The functional is GGA-PBE.

Calculated values
Uncorrected energy in eV/cell: -34.85
Space group: No. 139
Formation energy from raw total energies in eV per formula unit: -3.96
Relative energy among the computed polymorphs in eV per atom: 0.000

Cell: 3.8563 3.8563 9.4223 Å, 101.81 101.81 90.00°
With the nearest neighbours (Å) after each atom.
Fractional positions:
1 Sm 0.3505 0.3505 0.7010  5 S 2.82-2.93
2 Sm 0.6495 0.6495 0.2990  5 S 2.82-2.93
3 Ge 0.0000 0.5000 0.0000  4 Ge 2.73
4 Ge 0.5000 0.0000 0.0000  4 Ge 2.73
5 S 0.1883 0.1883 0.3765  5 Sm 2.82-2.93
6 S 0.8117 0.8117 0.6235  5 Sm 2.82-2.93

This record from Alexandria describes an optimized crystal structure of Sm2GeS6. The functional is GGA-PBE.

Calculated values
Uncorrected energy in eV/cell: -92.71
Space group: No. 136
Formation energy from raw total energies in eV per formula unit: -7.54

Cell: 6.1666 6.1666 12.1931 Å, 90.00 90.00 90.00°
With the nearest neighbours (Å) after each atom.
Fractional positions:
1 Sm 0.0000 0.0000 0.3327  6 S 2.77-2.81
2 Sm 0.5000 0.5000 0.8327  6 S 2.77-2.81
3 Sm 0.5000 0.5000 0.1673  6 S 2.77-2.81
4 Sm 0.0000 0.0000 0.6673  6 S 2.77-2.81
5 Ge 0.0000 0.0000 0.0000  6 S 2.39-2.43
6 Ge 0.5000 0.5000 0.5000  6 S 2.39-2.43
7 S 0.3159 0.3159 0.3552  1 Ge 2.39
8 S 0.6841 0.6841 0.3552  1 Ge 2.39
9 S 0.1841 0.8159 0.8552  1 Ge 2.39
10 S 0.8159 0.1841 0.8552  1 Ge 2.39
11 S 0.1841 0.8159 0.1448  1 Ge 2.39
12 S 0.8159 0.1841 0.1448  1 Ge 2.39
13 S 0.3159 0.3159 0.6448  1 Ge 2.39
14 S 0.6841 0.6841 0.6448  1 Ge 2.39
15 S 0.2782 0.2782 0.0000  1 Ge 2.43
16 S 0.7218 0.7218 0.0000  1 Ge 2.43
17 S 0.2218 0.7782 0.5000  1 Ge 2.43
18 S 0.7782 0.2218 0.5000  1 Ge 2.43

This record from Alexandria describes an optimized crystal structure of Sm12SnGe4S28. The functional is GGA-PBE.

Calculated values
Uncorrected energy in eV/cell: -262.35
Space group: No. 1
Formation energy from raw total energies in eV per formula unit: -67.68

Cell: 10.0819 11.6819 11.6438 Å, 120.03 115.62 90.00°
With the nearest neighbours (Å) after each atom.
Fractional positions:
1 Sm 0.7771 0.4785 0.6537  7 S 2.75-3.04
2 Sm 0.7723 0.9891 0.6320  7 S 2.82-2.97
3 Sm 0.8623 0.2841 0.2272  7 S 2.84-2.94
4 Sm 0.8745 0.7654 0.2209  7 S 2.77-3.07
5 Sm 0.3675 0.2405 0.1382  7 S 2.84-2.97
6 Sm 0.3437 0.7157 0.1234  8 S 2.77-3.09
7 Sm 0.2219 0.5992 0.3490  7 S 2.76-3.03
8 Sm 0.2355 0.0826 0.3695  8 S 2.82-3.06
9 Sm 0.1284 0.7795 0.7609  8 S 2.82-3.04
10 Sm 0.1283 0.3133 0.7812  7 S 2.78-3.06
11 Sm 0.6329 0.8326 0.8648  8 S 2.79-3.09
12 Sm 0.6515 0.3604 0.8753  7 S 2.76-3.01
13 Sn 0.0012 0.0128 0.0000  6 S 2.55-2.60
14 Ge 0.6668 0.6229 0.3351  4 S 2.21-2.25
15 Ge 0.6664 0.1191 0.3308  4 S 2.20-2.25
16 Ge 0.3333 0.5293 0.6596  4 S 2.19-2.26
17 Ge 0.3345 0.0391 0.6762  4 S 2.21-2.26
18 S 0.6727 0.4393 0.3462  1 Ge 2.21
19 S 0.6610 0.9252 0.3199  1 Ge 2.20
20 S 0.3327 0.3446 0.6655  1 Ge 2.19
21 S 0.3339 0.8468 0.6692  1 Ge 2.21
22 S 0.8977 0.2706 0.4763  1 Ge 2.24
23 S 0.8994 0.7746 0.4819  1 Ge 2.25
24 S 0.5806 0.0837 0.0988  1 Ge 2.25
25 S 0.5815 0.5841 0.1031  1 Ge 2.24
26 S 0.5172 0.2380 0.4148  1 Ge 2.25
27 S 0.5222 0.7465 0.4213  1 Ge 2.24
28 S 0.1041 0.5337 0.5059  1 Ge 2.25
29 S 0.1014 0.0459 0.5323  1 Ge 2.25
30 S 0.4118 0.7228 0.8929  1 Ge 2.26
31 S 0.4217 0.2364 0.9051  1 Ge 2.24
32 S 0.4745 0.5654 0.5695  1 Ge 2.25
33 S 0.4904 0.0801 0.6007  1 Ge 2.26
34 S 0.7342 0.6043 0.9028  4 Sm 2.75-3.02
35 S 0.7565 0.0840 0.9049  1 Sn 2.56
36 S 0.1510 0.2521 0.2447  1 Sn 2.55
37 S 0.1693 0.7891 0.2681  4 Sm 2.77-2.98
38 S 0.0934 0.5670 0.8300  4 Sm 2.77-3.03
39 S 0.0959 0.0567 0.8492  1 Sn 2.57, 1 Sm 2.87
40 S 0.2597 0.4495 0.0979  4 Sm 2.76-3.06
41 S 0.2516 0.9433 0.0902  1 Sn 2.59
42 S 0.8394 0.7731 0.7479  1 Sn 2.60, 2 Sm 2.85-2.86
43 S 0.8358 0.2702 0.7395  4 Sm 2.78-3.03
44 S 0.9042 0.4822 0.1635  4 Sm 2.76-3.07
45 S 0.9081 0.9789 0.1602  1 Sn 2.60, 2 Sm 2.88-2.90